# ScZn2Si (SCAN, single point on PBEsol structure)
# symmetry: Imm2
# crystal system: orthorhombic
data_ScZn2Si
_chemical_formula_sum 'Sc1 Zn2 Si1'
_cell_length_a 3.862
_cell_length_b 3.959
_cell_length_c 5.018
_cell_angle_alpha 113.23
_cell_angle_beta 112.63
_cell_angle_gamma 90.00
_space_group_name_H-M_alt 'P 1'
_space_group_IT_number 1
_space_group_name_Hall 'P 1'
loop_
_atom_site_label
_atom_site_type_symbol
_atom_site_fract_x
_atom_site_fract_y
_atom_site_fract_z
_atom_site_occupancy
Zn1 Zn 0.757 0.257 0.513 1
Zn2 Zn 0.972 0.972 0.944 1
Si1 Si 0.258 0.758 0.516 1
Sc1 Sc 0.513 0.513 0.027 1

=====

# ScZn2Si (SCAN, single point on PBEsol structure)
# symmetry: P4mm
# crystal system: tetragonal
data_ScZn2Si
_chemical_formula_sum 'Sc1 Zn2 Si1'
_cell_length_a 3.180
_cell_length_b 3.180
_cell_length_c 6.301
_cell_angle_alpha 90.00
_cell_angle_beta 90.00
_cell_angle_gamma 90.00
_space_group_name_H-M_alt 'P 1'
_space_group_IT_number 1
_space_group_name_Hall 'P 1'
loop_
_atom_site_label
_atom_site_type_symbol
_atom_site_fract_x
_atom_site_fract_y
_atom_site_fract_z
_atom_site_occupancy
Zn1 Zn 0.000 0.000 0.004 1
Zn2 Zn 0.500 0.500 0.211 1
Sc1 Sc 0.000 0.000 0.506 1
Si1 Si 0.500 0.500 0.779 1

=====

# Sc2ZnSi (SCAN, single point on PBEsol structure)
# symmetry: I-4m2
# crystal system: tetragonal
data_Sc2ZnSi
_chemical_formula_sum 'Sc2 Zn1 Si1'
_cell_length_a 3.899
_cell_length_b 3.899
_cell_length_c 5.439
_cell_angle_alpha 111.01
_cell_angle_beta 111.01
_cell_angle_gamma 90.00
_space_group_name_H-M_alt 'P 1'
_space_group_IT_number 1
_space_group_name_Hall 'P 1'
loop_
_atom_site_label
_atom_site_type_symbol
_atom_site_fract_x
_atom_site_fract_y
_atom_site_fract_z
_atom_site_occupancy
Sc1 Sc 0.750 0.250 0.500 1
Sc2 Sc 0.000 0.000 0.000 1
Si1 Si 0.500 0.500 0.000 1
Zn1 Zn 0.250 0.750 0.500 1

=====

# ScZn2Si (SCAN, single point on PBEsol structure)
# symmetry: Pmmm
# crystal system: orthorhombic
data_ScZn2Si
_chemical_formula_sum 'Sc1 Zn2 Si1'
_cell_length_a 3.196
_cell_length_b 3.653
_cell_length_c 5.536
_cell_angle_alpha 90.00
_cell_angle_beta 90.00
_cell_angle_gamma 90.00
_space_group_name_H-M_alt 'P 1'
_space_group_IT_number 1
_space_group_name_Hall 'P 1'
loop_
_atom_site_label
_atom_site_type_symbol
_atom_site_fract_x
_atom_site_fract_y
_atom_site_fract_z
_atom_site_occupancy
Zn1 Zn 0.000 0.000 0.269 1
Zn2 Zn 0.000 0.000 0.731 1
Sc1 Sc 0.500 0.500 0.000 1
Si1 Si 0.500 0.500 0.500 1

=====

# ScZn3Si (SCAN, single point on PBEsol structure)
# symmetry: Pm-3m
# crystal system: cubic
data_ScZn3Si
_chemical_formula_sum 'Sc1 Zn3 Si1'
_cell_length_a 4.979
_cell_length_b 4.979
_cell_length_c 4.979
_cell_angle_alpha 90.00
_cell_angle_beta 90.00
_cell_angle_gamma 90.00
_space_group_name_H-M_alt 'P 1'
_space_group_IT_number 1
_space_group_name_Hall 'P 1'
loop_
_atom_site_label
_atom_site_type_symbol
_atom_site_fract_x
_atom_site_fract_y
_atom_site_fract_z
_atom_site_occupancy
Sc1 Sc 0.000 0.000 0.000 1
Zn1 Zn 0.500 0.000 0.000 1
Zn2 Zn 0.000 0.500 0.000 1
Zn3 Zn 0.000 0.000 0.500 1
Si1 Si 0.500 0.500 0.500 1

=====

# ScZn2Si (SCAN, single point on PBEsol structure)
# symmetry: F-43m
# crystal system: cubic
data_ScZn2Si
_chemical_formula_sum 'Sc1 Zn2 Si1'
_cell_length_a 4.473
_cell_length_b 4.473
_cell_length_c 4.473
_cell_angle_alpha 60.00
_cell_angle_beta 60.00
_cell_angle_gamma 60.00
_space_group_name_H-M_alt 'P 1'
_space_group_IT_number 1
_space_group_name_Hall 'P 1'
loop_
_atom_site_label
_atom_site_type_symbol
_atom_site_fract_x
_atom_site_fract_y
_atom_site_fract_z
_atom_site_occupancy
Si1 Si 0.250 0.250 0.250 1
Zn1 Zn 0.000 0.000 0.000 1
Zn2 Zn 0.750 0.750 0.750 1
Sc1 Sc 0.500 0.500 0.500 1

=====

Calculated values (eV/atom) of calculated total energy for the records, taken in order: -13.023; -12.973; -13.421; -12.921; -11.667; -12.901.